## SnW2F (PBE+U)

Data for a relaxed structure of SnW2F. Values from VASP.

```
&SYSTEM
  ibrav = 0, nat = 16, ntyp = 3
/
ATOMIC_SPECIES
Sn 118.71 Sn.upf
W 183.84 W.upf
F 19.00 F.upf
ATOMIC_POSITIONS crystal
Sn 0.000 0.000 0.000
Sn 0.000 0.500 0.500
Sn 0.500 0.000 0.500
Sn 0.500 0.500 0.000
W 0.250 0.250 0.250
W 0.250 0.250 0.750
W 0.250 0.750 0.250
W 0.250 0.750 0.750
W 0.750 0.250 0.250
W 0.750 0.250 0.750
W 0.750 0.750 0.250
W 0.750 0.750 0.750
F 0.000 0.000 0.500
F 0.000 0.500 0.000
F 0.500 0.000 0.000
F 0.500 0.500 0.500
CELL_PARAMETERS angstrom
6.466 0.000 0.000
0.000 6.466 0.000
0.000 0.000 6.466
```

## Properties
Its magnetic moment is 1.08 μB/f.u. As for the calculated total energy: -4.047 eV/atom. The energy above the most stable polymorph in this dataset is 237 meV/atom.